No. 1
HoC2BrO6 | GGA-PBE | relaxed

For the density, the calculation gives 4.5 g cm⁻³. As for the crystal system: monoclinic. The calculation puts the energy at -0.5270 Ry per atom.

Unit cell a=6.489 b=6.489 c=7.427 alpha=111.82 beta=111.82 gamma=89.55
Sites, in units of the cell vectors:
O (0.306, 0.141, 0.549)
O (0.859, 0.694, 0.951)
O (0.395, 0.910, 0.729)
O (0.910, 0.395, 0.229)
O (0.289, 0.476, 0.388)
O (0.141, 0.306, 0.049)
O (0.605, 0.090, 0.271)
O (0.711, 0.524, 0.612)
O (0.090, 0.605, 0.771)
O (0.476, 0.289, 0.888)
O (0.524, 0.711, 0.112)
O (0.694, 0.859, 0.451)
Br (0.097, 0.903, 0.250)
Br (0.903, 0.097, 0.750)
C (0.391, 0.100, 0.722)
C (0.609, 0.900, 0.278)
C (0.100, 0.391, 0.222)
C (0.900, 0.609, 0.778)
Ho (0.575, 0.425, 0.250)
Ho (0.425, 0.575, 0.750)

---

No. 2
MgTlH | GGA-PBE | relaxed

For the density, the calculation gives 7.1 g cm⁻³. As for the crystal system: hexagonal. The calculation puts the energy at -0.1727 Ry per atom.

Unit cell a=3.391 b=3.391 c=5.406 alpha=90.00 beta=90.00 gamma=120.00
Sites, in units of the cell vectors:
H (0.333, 0.667, 0.500)
Tl (0.000, 0.000, 0.000)
Mg (0.667, 0.333, 0.500)

---

No. 3
ZrTcAs | GGA-PBE | relaxed

For the density, the calculation gives 8.3 g cm⁻³. The formation energy comes out at -0.46 eV per atom. As for the crystal system: hexagonal. The calculation puts the energy at -0.6109 Ry per atom.

Unit cell a=4.333 b=4.333 c=3.234 alpha=90.00 beta=90.00 gamma=120.00
Sites, in units of the cell vectors:
Tc (0.333, 0.667, 0.167)
As (0.000, 0.000, 0.167)
Zr (0.667, 0.333, 0.666)

---

No. 4
Sm2PuGa4Pt3 | GGA-PBE | relaxed

For the density, the calculation gives 11.1 g cm⁻³. The formation energy comes out at -0.76 eV per atom. As for the crystal system: tetragonal. The calculation puts the energy at -0.4526 Ry per atom.

Unit cell a=4.227 b=4.227 c=11.774 alpha=90.00 beta=90.00 gamma=90.00
Each line ends with the local moment (μB).
Sites, in units of the cell vectors:
Pt (0.500, 0.000, 0.877)  0.02
Pt (0.000, 0.500, 0.123)  0.02
Pt (0.000, 0.000, 0.500)  -0.05
Ga (0.500, 0.500, 0.000)  0.00
Ga (0.000, 0.500, 0.330)  0.03
Ga (0.500, 0.000, 0.670)  0.03
Ga (0.000, 0.000, 0.000)  0.00
Sm (0.000, 0.500, 0.778)  0.02
Sm (0.500, 0.000, 0.222)  0.02
Pu (0.500, 0.500, 0.500)  5.21

---

No. 5
Hf2ZrRe2 | GGA-PBE | relaxed

For the density, the calculation gives 14.0 g cm⁻³. The formation energy comes out at 0.00 eV per atom. As for the crystal system: tetragonal. The calculation puts the energy at -0.7841 Ry per atom.

Unit cell a=7.583 b=7.583 c=3.394 alpha=90.00 beta=90.00 gamma=90.00
Sites, in units of the cell vectors:
Hf (0.150, 0.650, 0.500)
Hf (0.650, 0.850, 0.500)
Hf (0.350, 0.150, 0.500)
Hf (0.850, 0.350, 0.500)
Zr (0.500, 0.500, 0.000)
Zr (0.000, 0.000, 0.000)
Re (0.147, 0.353, 0.000)
Re (0.353, 0.853, 0.000)
Re (0.853, 0.647, 0.000)
Re (0.647, 0.147, 0.000)

---

No. 6
Tm4AlRh | GGA-PBE | relaxed

For the density, the calculation gives 8.7 g cm⁻³. The formation energy comes out at -0.45 eV per atom. As for the crystal system: monoclinic. The calculation puts the energy at -0.3884 Ry per atom.

Unit cell a=5.898 b=8.266 c=7.863 alpha=115.08 beta=103.44 gamma=105.74
Sites, in units of the cell vectors:
Tm (0.046, 0.218, 0.857)
Tm (0.781, 0.708, 0.649)
Tm (0.632, 0.058, 0.351)
Tm (0.368, 0.942, 0.649)
Tm (0.954, 0.782, 0.143)
Tm (0.311, 0.640, 0.857)
Tm (0.689, 0.360, 0.143)
Tm (0.219, 0.292, 0.351)
Al (0.622, 0.372, 0.745)
Al (0.378, 0.628, 0.255)
Rh (0.751, 0.001, 0.001)
Rh (0.249, 0.999, 0.999)